Entry 1:
DFT (PBE) results for a relaxed KSmCdSe3 crystal.

Cell: 9.294 9.294 9.276 Å, 103.81 103.81 26.58°
Sites, in units of the cell vectors:
Cd  0.490  0.490  0.281
Cd  0.510  0.510  0.719
K  0.140  0.140  0.069
K  0.860  0.860  0.931
Se  0.500  0.500  0.000
Se  0.332  0.332  0.202
Se  0.663  0.663  0.368
Se  0.000  0.000  0.500
Se  0.337  0.337  0.632
Se  0.668  0.668  0.798
Sm  0.827  0.827  0.409
Sm  0.173  0.173  0.591

Summary:
M_tot ... 0.0 μB/f.u.
Space group ... C2/m
Total energy ... -49.6 eV per cell
Crystal system ... monoclinic

Entry 2:
DFT (PBE) results for a relaxed KTbCdSe3 crystal.

Cell: 9.205 9.205 9.273 Å, 103.42 103.42 26.51°
Sites, in units of the cell vectors:
Cd  0.510  0.510  0.219
Cd  0.490  0.490  0.781
K  0.858  0.858  0.432
K  0.142  0.142  0.568
Se  0.000  0.000  0.000
Se  0.336  0.336  0.132
Se  0.668  0.668  0.292
Se  0.500  0.500  0.500
Se  0.332  0.332  0.708
Se  0.664  0.664  0.868
Tb  0.173  0.173  0.087
Tb  0.827  0.827  0.913

Summary:
M_tot ... 0.0 μB/f.u.
Space group ... C2/m
Total energy ... -49.6 eV per cell
Crystal system ... monoclinic

Entry 3:
DFT (PBE) results for a relaxed KTbCdSe3 crystal.

Cell: 8.810 4.256 10.293 Å, 90.00 107.79 90.00°
Sites, in units of the cell vectors:
Cd  0.585  0.250  0.112
Cd  0.415  0.750  0.888
K  0.279  0.750  0.262
K  0.721  0.250  0.738
Se  0.736  0.750  0.048
Se  0.037  0.250  0.347
Se  0.598  0.250  0.370
Se  0.402  0.750  0.630
Se  0.963  0.750  0.653
Se  0.264  0.250  0.952
Tb  0.825  0.750  0.367
Tb  0.175  0.250  0.633

Summary:
M_tot ... 0.0 μB/f.u.
Space group ... P2_1/m
Total energy ... -50.2 eV per cell
Crystal system ... monoclinic